Entry 1:
Material: Pm5Tc2Br2
Method: DFT, GGA-PBE
State: optimized geometry

Results
uncorrected energy = -5.7845 eV per atom
DOS(E_F) = 24.3 states/eV per cell
volume = 29.03 A^3/atom

a b c (Å): 17.118 7.826 7.802
angles (deg): 90.00 90.00 90.00
Space group Cmce (No. 64)
Asymmetric unit:
Pm 0.000 0.000 0.000 x4
Pm 0.114 0.176 0.325 x16
Tc 0.000 0.114 0.611 x8
Br 0.229 0.000 0.000 x8

***

Entry 2:
Material: Ba2CdGeH
Method: DFT, GGA-PBE
State: optimized geometry

Results
uncorrected energy = -2.8582 eV per atom
DOS(E_F) = 2.7 states/eV per cell
volume = 27.84 A^3/atom

a b c (Å): 5.476 5.476 4.642
angles (deg): 90.00 90.00 90.00
Space group P4/mmm (No. 123)
Asymmetric unit:
Ba 0.000 0.500 0.000 x2
Cd 0.000 0.000 0.500 x1
Ge 0.500 0.500 0.500 x1
H 0.000 0.000 0.000 x1

***

Entry 3:
Material: PaCdAgO4
Method: DFT, GGA-PBE
State: optimized geometry

Results
uncorrected energy = -6.7567 eV per atom
volume = 16.63 A^3/atom

a b c (Å): 6.636 7.161 9.798
angles (deg): 90.00 90.00 90.00
Space group Imma (No. 74)
Asymmetric unit:
Pa 0.000 0.000 0.000 x4
Cd 0.250 0.250 0.250 x4
Ag 0.000 0.250 0.649 x4
O 0.000 0.029 0.217 x8
O 0.204 0.250 0.997 x8

***

Entry 4:
Material: SiAs3Cl
Method: DFT, GGA-PBE
State: optimized geometry

Results
uncorrected energy = -2.9940 eV per atom
DOS(E_F) = 3.2 states/eV per cell
distance to the lowest polymorph of the same formula = 302 kJ/mol of formula units
volume = 23.21 A^3/atom

a b c (Å): 4.877 4.877 4.877
angles (deg): 90.00 90.00 90.00
Space group Pm-3m (No. 221)
Asymmetric unit:
Si 0.000 0.000 0.000 x1
As 0.000 0.500 0.500 x3
Cl 0.500 0.500 0.500 x1